First-principles (PBE with a Hubbard U) data for an optimized crystal structure of Zn2FeO3, as listed in the Alexandria database.

spin magnetization	0.67	μB per atom
total DFT energy (no corrections)	-5.22	eV/atom

Cell: 10.879 5.781 10.303 Å, 79.74 31.53 68.73°
Sites, in units of the cell vectors:
Zn (0.000, 0.000, 0.000)
Zn (0.084, 0.416, 0.082)
Zn (0.168, 0.832, 0.166)
Zn (0.250, 0.250, 0.250)
Zn (0.416, 0.084, 0.418)
Zn (0.496, 0.496, 0.504)
Zn (0.746, 0.746, 0.754)
Zn (0.832, 0.168, 0.834)
Fe (0.326, 0.670, 0.338)
Fe (0.584, 0.912, 0.580)
Fe (0.670, 0.326, 0.666)
Fe (0.912, 0.584, 0.924)
O (0.048, 0.207, 0.286)
O (0.117, 0.624, 0.380)
O (0.207, 0.048, 0.460)
O (0.291, 0.455, 0.543)
O (0.370, 0.870, 0.626)
O (0.455, 0.291, 0.711)
O (0.539, 0.707, 0.795)
O (0.624, 0.117, 0.880)
O (0.707, 0.539, 0.959)
O (0.790, 0.964, 0.043)
O (0.870, 0.370, 0.133)
O (0.964, 0.790, 0.202)